(1)
A geometry-optimized CsSn2IrPt structure. Source: the Alexandria database, functional PBE-GGA. Values from VASP.

Structure (Quantum ESPRESSO input):
```
&SYSTEM
  ibrav = 0, nat = 5, ntyp = 4
/
ATOMIC_SPECIES
Sn 118.71 Sn.upf
Pt 195.08 Pt.upf
Cs 132.91 Cs.upf
Ir 192.22 Ir.upf
CELL_PARAMETERS angstrom
-5.6858 0.2377 -1.8668
-0.3754 -5.0019 0.5066
-1.8283 0.7104 5.6588
ATOMIC_POSITIONS angstrom
Sn -0.9141 0.3552 2.8294
Sn -2.8429 0.1188 -0.9334
Pt -0.1877 -2.5010 0.2533
Cs 0.0000 0.0000 0.0000
Ir -3.9447 -2.0269 2.1493
```

Properties
Space group = P4/mmm (123)
Crystal system = tetragonal
Formation energy = 12.1 eV per formula unit

***

(2)
A geometry-optimized CsTa2IrPt structure. Source: the Alexandria database, functional PBE-GGA. Values from VASP.

Structure (Quantum ESPRESSO input):
```
&SYSTEM
  ibrav = 0, nat = 5, ntyp = 4
/
ATOMIC_SPECIES
Ta 180.95 Ta.upf
Ir 192.22 Ir.upf
Pt 195.08 Pt.upf
Cs 132.91 Cs.upf
CELL_PARAMETERS angstrom
4.8994 0.0000 0.0000
0.0000 5.3366 0.0000
0.0000 0.0000 4.8994
ATOMIC_POSITIONS angstrom
Ta 0.0000 0.0000 2.4497
Ta 2.4497 0.0000 0.0000
Ir 0.0000 0.0000 0.0000
Pt 0.0000 2.6683 0.0000
Cs 2.4497 2.6683 2.4497
```

Properties
Space group = P4/mmm (123)
Crystal system = tetragonal
Formation energy = 5.8 eV per formula unit

***

(3)
A geometry-optimized CsTe2IrPt structure. Source: the Alexandria database, functional PBE-GGA. Values from VASP.

Structure (Quantum ESPRESSO input):
```
&SYSTEM
  ibrav = 0, nat = 5, ntyp = 4
/
ATOMIC_SPECIES
Ir 192.22 Ir.upf
Te 127.60 Te.upf
Pt 195.08 Pt.upf
Cs 132.91 Cs.upf
CELL_PARAMETERS angstrom
-0.7407 -5.1306 3.2724
3.5116 1.6893 3.4435
-4.4604 2.7002 3.2239
ATOMIC_POSITIONS angstrom
Ir 1.7558 0.8447 1.7217
Te -2.2302 1.3501 1.6120
Te -0.3704 -2.5653 1.6362
Pt -0.8448 -0.3705 4.9699
Cs 0.0000 0.0000 0.0000
```

Properties
Energy relative to the elements, uncorrected = 2.467 eV per atom
Space group = P4/mmm (123)
Crystal system = tetragonal